(w)
# RbMoO4

A relaxed RbMoO4 crystal (PBE with a Hubbard U, Alexandria).

Results
Space-group type: C2/m (12)
Magnetization, Bohr magnetons per cell: 2.04

```
data_RbMoO4
_symmetry_space_group_name_H-M 'P 1'
_symmetry_Int_Tables_number 1
_cell_length_a 5.451
_cell_length_b 6.814
_cell_length_c 7.801
_cell_angle_alpha 115.90
_cell_angle_beta 114.28
_cell_angle_gamma 90.00
loop_
_symmetry_equiv_pos_as_xyz
'x,y,z'
loop_
_atom_site_label
_atom_site_type_symbol
_atom_site_fract_x
_atom_site_fract_y
_atom_site_fract_z
O1 O 0.545 0.789 0.171
O2 O 0.350 0.715 0.431
O3 O 0.650 0.285 0.569
O4 O 0.545 0.382 0.171
O5 O 0.455 0.618 0.829
O6 O 0.455 0.211 0.829
Rb1 Rb 0.948 0.136 0.273
Mo1 Mo 0.318 0.586 0.172
O7 O 0.000 0.322 0.000
O8 O 0.000 0.678 0.000
Rb2 Rb 0.052 0.864 0.727
Mo2 Mo 0.682 0.414 0.828
```

---

(x)
# RbMoO4

A relaxed RbMoO4 crystal (PBE with a Hubbard U, Alexandria).

Results
Space-group type: P-1 (2)
Magnetization, Bohr magnetons per cell: 2.09

```
data_RbMoO4
_symmetry_space_group_name_H-M 'P 1'
_symmetry_Int_Tables_number 1
_cell_length_a 5.584
_cell_length_b 8.170
_cell_length_c 7.547
_cell_angle_alpha 116.07
_cell_angle_beta 103.41
_cell_angle_gamma 115.68
loop_
_symmetry_equiv_pos_as_xyz
'x,y,z'
loop_
_atom_site_label
_atom_site_type_symbol
_atom_site_fract_x
_atom_site_fract_y
_atom_site_fract_z
O1 O 0.680 0.941 0.799
O2 O 0.430 0.734 0.331
Rb1 Rb 0.250 0.641 0.871
O3 O 0.893 0.701 0.587
O4 O 0.570 0.266 0.669
O5 O 0.107 0.299 0.413
O6 O 0.152 0.178 0.723
Rb2 Rb 0.750 0.359 0.129
Mo1 Mo 0.800 0.884 0.596
Mo2 Mo 0.200 0.116 0.404
O7 O 0.320 0.059 0.201
O8 O 0.848 0.822 0.277
```

---

Stability summary - winner: (x); margin: 56 meV/atom.